{"formula": "NaSn2Pb2", "functional": "SCAN", "state": "PBEsol geometry", "cell": [[4.184, 0.000, 0.000], [0.000, 8.375, 0.000], [0.000, 0.000, 8.375]], "species": ["Pb", "Pb", "Pb", "Pb", "Na", "Na", "Sn", "Sn", "Sn", "Sn"], "frac_coords": [[0.500, 0.158, 0.658], [0.500, 0.658, 0.842], [0.500, 0.842, 0.342], [0.500, 0.342, 0.158], [0.000, 0.000, 0.000], [0.000, 0.500, 0.500], [0.000, 0.370, 0.870], [0.000, 0.870, 0.630], [0.000, 0.630, 0.130], [0.000, 0.130, 0.370]], "delta_e_f_ev_per_atom": -0.059, "crystal_system": "tetragonal"}